Here is a relaxed structure of Pr4Er3Cd from Alexandria via LeMat-Bulk. Energies are from PBE.

```
8
Lattice="4.1102 0.0000 0.0000 0.0000 4.1102 0.0000 0.0000 0.0000 15.3736" Properties=species:S:1:pos:R:3 pbc="T T T"
Pr 0.0000 0.0000 1.7976
Pr 0.0000 0.0000 5.7615
Pr 0.0000 0.0000 9.6120
Pr 0.0000 0.0000 13.5760
Er 2.0551 2.0551 3.8346
Er 2.0551 2.0551 7.6868
Er 2.0551 2.0551 11.5389
Cd 2.0551 2.0551 0.0000
```

Calculated formation energy in eV per atom: 0.004

Here is a relaxed structure of LiPa2AgO6 from Alexandria via LeMat-Bulk. Energies are from PBE.

```
10
Lattice="2.8471 1.6438 5.1110 -2.8471 1.6438 5.1110 0.0000 -3.2876 5.1110" Properties=species:S:1:pos:R:3 pbc="T T T"
Li 0.0000 0.0000 0.0000
Pa 0.0000 0.0000 4.4475
Pa 0.0000 0.0000 12.0012
Ag 0.0000 0.0000 8.1759
O -1.0178 -1.5178 5.6763
O -2.2777 -0.0695 8.3188
O -0.8055 1.6404 5.6763
O 1.1990 -1.9378 8.3189
O 1.8233 -0.1226 5.6763
O 1.0787 2.0073 8.3188
```

Energy relative to the elements, uncorrected in eV per formula unit: -28.35

Here is a relaxed structure of DyBN2 from Alexandria via LeMat-Bulk. Energies are from PBE.

```
16
Lattice="9.9636 0.0000 0.0000 0.0000 3.6228 0.0000 0.0000 0.0000 6.0642" Properties=species:S:1:pos:R:3 pbc="T T T"
Dy 1.3715 0.9057 0.8530
Dy 3.6103 2.7171 3.8851
Dy 6.3533 0.9057 2.1791
Dy 8.5921 2.7171 5.2112
B 1.1065 0.9057 3.9343
B 3.8753 2.7171 0.9022
B 6.0883 0.9057 5.1620
B 8.8571 2.7171 2.1299
N 0.1137 0.9057 4.8308
N 2.1784 0.9057 3.1196
N 2.8034 2.7171 0.0875
N 4.8681 2.7171 1.7987
N 5.0955 0.9057 4.2654
N 7.1602 0.9057 5.9766
N 7.7852 2.7171 2.9445
N 9.8499 2.7171 1.2334
```

Energy relative to the elements, uncorrected in eV per formula unit: -5.44

Here is a relaxed structure of KSr2Mg from Alexandria via LeMat-Bulk. Energies are from PBE.

```
4
Lattice="0.0000 4.5642 4.5642 4.5642 0.0000 4.5642 4.5642 4.5642 0.0000" Properties=species:S:1:pos:R:3 pbc="T T T"
K 0.0000 0.0000 0.0000
Sr 4.5642 4.5642 4.5642
Sr 6.8463 6.8463 6.8463
Mg 2.2821 2.2821 2.2821
```

Calculated formation energy in eV per atom: 0.192

Here is a relaxed structure of LiYPd4 from Alexandria via LeMat-Bulk. Energies are from PBE.

```
6
Lattice="0.0000 3.7763 3.7763 3.7763 0.0000 3.7763 3.7763 3.7763 0.0000" Properties=species:S:1:pos:R:3 pbc="T T T"
Li 0.0000 0.0000 0.0000
Y 5.6644 5.6644 5.6644
Pd 2.8301 2.8301 2.8301
Pd 4.7225 4.7225 2.8301
Pd 4.7225 2.8301 4.7225
Pd 2.8301 4.7225 4.7225
```

Calculated formation energy in eV per atom: -0.610

Here is a relaxed structure of Sm6ErTe8 from Alexandria via LeMat-Bulk. Energies are from PBE.

```
15
Lattice="0.0000 6.2561 6.2561 6.2561 0.0000 6.2561 6.2561 6.2561 0.0000" Properties=species:S:1:pos:R:3 pbc="T T T"
Sm 3.1281 3.1281 0.0000
Sm 3.1281 0.0000 3.1281
Sm 6.2561 3.1281 3.1281
Sm 0.0000 3.1281 3.1281
Sm 3.1281 6.2561 3.1281
Sm 3.1281 3.1281 6.2561
Er 0.0000 0.0000 0.0000
Te 3.1281 3.1281 3.1281
Te 6.2561 6.2561 3.1308
Te 6.2561 3.1308 6.2561
Te 9.3814 6.2561 6.2561
Te 3.1308 6.2561 6.2561
Te 6.2561 9.3814 6.2561
Te 6.2561 6.2561 9.3814
Te 9.3842 9.3842 9.3842
```

Energy relative to the elements, uncorrected in eV per formula unit: -21.28

Here is a relaxed structure of In2AsPtC from Alexandria via LeMat-Bulk. Energies are from PBE.

```
5
Lattice="5.2165 0.0000 0.0000 0.0000 5.2165 0.0000 0.0000 0.0000 4.8616" Properties=species:S:1:pos:R:3 pbc="T T T"
In 0.0000 2.6082 0.0000
In 2.6082 0.0000 0.0000
As 0.0000 0.0000 2.4308
Pt 0.0000 0.0000 0.0000
C 2.6082 2.6082 2.4308
```

Calculated formation energy in eV per atom: 1.296

Here is a relaxed structure of Mo2AsPt from Alexandria via LeMat-Bulk. Energies are from PBE.

```
4
Lattice="2.8654 0.0000 0.0000 0.0000 4.0450 0.0000 0.0000 0.0000 5.5020" Properties=species:S:1:pos:R:3 pbc="T T T"
Mo 0.0000 0.0000 0.0000
Mo 1.4327 2.0225 1.7260
As 1.4327 2.0225 4.4381
Pt 0.0000 0.0000 2.7717
```

Calculated formation energy in eV per atom: 0.067

Here is a relaxed structure of ThSi2Os2 from Alexandria via LeMat-Bulk. Energies are from PBE.

```
5
Lattice="-2.1126 2.1126 4.9075 2.1126 -2.1126 4.9075 2.1126 2.1126 -4.9075" Properties=species:S:1:pos:R:3 pbc="T T T"
Th 0.0000 0.0000 0.0000
Si 0.0000 0.0000 3.6306
Si 0.0000 0.0000 6.1844
Os 2.1126 0.0000 2.4538
Os 0.0000 2.1126 2.4538
```

Energy relative to the elements, uncorrected in eV per formula unit: -3.86

Here is a relaxed structure of Cs2NaAl from Alexandria via LeMat-Bulk. Energies are from PBE.

```
8
Lattice="-7.0433 7.0433 3.0543 7.0433 -7.0433 3.0543 7.0433 7.0433 -3.0543" Properties=species:S:1:pos:R:3 pbc="T T T"
Cs 1.0443 3.5217 0.7636
Cs -3.5217 5.9991 2.2907
Cs -1.0443 10.5650 0.7636
Cs 3.5217 8.0876 2.2907
Na 7.0433 0.0000 1.5271
Na 0.0000 0.0000 3.0543
Al 0.0000 0.0000 0.0000
Al 0.0000 7.0433 1.5271
```

Calculated formation energy in eV per atom: 0.350

Here is a relaxed structure of MgV2SnN from Alexandria via LeMat-Bulk. Energies are from PBE.

```
5
Lattice="5.1628 0.0000 0.0000 0.0000 5.1628 0.0000 0.0000 0.0000 5.1801" Properties=species:S:1:pos:R:3 pbc="T T T"
Mg 0.0000 0.0000 0.0000
V 0.0000 2.5814 2.5900
V 2.5814 0.0000 2.5900
Sn 0.0000 0.0000 2.5900
N 2.5814 2.5814 0.0000
```

Energy relative to the elements, uncorrected in eV per formula unit: 9.68

Here is a relaxed structure of PrNd12Dy6 from Alexandria via LeMat-Bulk. Energies are from PBE.

```
19
Lattice="6.7574 3.9014 4.2387 -6.7574 3.9014 4.2387 0.0000 -7.8028 4.2387" Properties=species:S:1:pos:R:3 pbc="T T T"
Pr 0.0000 0.0000 0.0000
Nd -1.8330 -1.0583 3.3513
Nd -1.7483 -3.0282 6.3581
Nd -3.4967 0.0000 6.3581
Nd 1.8330 -1.0583 3.3514
Nd 0.0000 2.1166 3.3514
Nd 1.7483 -3.0282 6.3580
Nd -1.7483 3.0282 6.3580
Nd 0.0000 -2.1166 9.3647
Nd -1.8330 1.0583 9.3647
Nd 3.4967 0.0000 6.3580
Nd 1.7483 3.0282 6.3580
Nd 1.8330 1.0583 9.3647
Dy 0.0000 -4.3969 3.6363
Dy -3.8078 2.1984 3.6363
Dy -3.8078 -2.1984 9.0798
Dy 3.8078 2.1984 3.6363
Dy 3.8078 -2.1984 9.0798
Dy 0.0000 4.3969 9.0798
```

Calculated formation energy in eV per atom: 0.191

Number 1: DOS at the Fermi energy 1.693 states/eV/atom, magnetization 0.000 μB/atom. Number 2: DOS at the Fermi energy 0.000 states/eV/atom, magnetization 0.000 μB/atom. Number 3: DOS at the Fermi energy 0.000 states/eV/atom, magnetization 0.000 μB/atom. Number 4: DOS at the Fermi energy 1.179 states/eV/atom, magnetization 0.000 μB/atom. Number 5: DOS at the Fermi energy 0.539 states/eV/atom, magnetization 0.000 μB/atom. Number 6: DOS at the Fermi energy 0.467 states/eV/atom, magnetization 0.000 μB/atom. Number 7: DOS at the Fermi energy 0.418 states/eV/atom, magnetization 0.254 μB/atom. Number 8: DOS at the Fermi energy 0.818 states/eV/atom, magnetization 0.000 μB/atom. Number 9: DOS at the Fermi energy 0.645 states/eV/atom, magnetization 0.000 μB/atom. Number 10: DOS at the Fermi energy 0.838 states/eV/atom, magnetization 0.000 μB/atom. Number 11: DOS at the Fermi energy 1.090 states/eV/atom, magnetization 0.999 μB/atom. Number 12: DOS at the Fermi energy 2.002 states/eV/atom, magnetization 0.000 μB/atom.